[1]
BeBTe3 | meta-GGA SCAN | PBEsol geometry

Calculated values
- DOS(E_F): 3.7 states/eV/f.u.
- E_form (uncorrected): 1.108 eV/atom

```
BeBTe3
1.0
-1.894 -3.981 1.841
3.195 -2.626 -2.392
3.006 0.283 3.703
Te Be B
3 1 1
Direct
0.000 0.000 0.500
0.500 0.000 0.000
0.000 0.500 0.000
0.500 0.500 0.500
0.000 0.000 0.000
```

---

[2]
TiBeB3 | meta-GGA SCAN | PBEsol geometry

Calculated values
- Energy of formation: 0.91 eV/atom
- DOS(E_F): 2.0 states/eV/f.u.

```
TiBeB3
1.0
-1.151 3.182 -0.964
-3.069 -1.409 -0.988
-1.279 0.517 3.236
Ti B Be
1 3 1
Direct
0.500 0.500 0.500
0.000 0.500 0.000
0.000 0.000 0.500
0.500 0.000 0.000
0.000 0.000 0.000
```

---

[3]
U4Be51B | meta-GGA SCAN | PBEsol geometry

Calculated values
- Energy of formation: -0.04 eV/atom
- DOS(E_F): 34.7 states/eV/f.u.

```
U4Be51B
1.0
-1.419 -6.444 2.710
4.325 -5.494 -1.412
7.322 -1.406 9.879
Be U B
51 4 1
Direct
0.315 0.970 0.971
0.744 0.315 0.971
0.177 0.530 0.530
0.685 0.030 0.029
0.779 0.426 0.781
0.013 0.779 0.781
0.396 0.044 0.395
0.470 0.237 0.470
0.044 0.165 0.395
0.664 0.896 0.897
0.987 0.221 0.219
0.165 0.396 0.395
0.457 0.336 0.103
0.083 0.203 0.857
0.294 0.646 0.646
0.072 0.488 0.721
0.749 0.749 0.752
0.646 0.414 0.646
0.143 0.917 0.143
0.512 0.280 0.279
0.203 0.857 0.857
0.354 0.586 0.354
0.857 0.083 0.857
0.835 0.604 0.605
0.574 0.987 0.219
0.763 0.177 0.530
0.823 0.470 0.470
0.104 0.457 0.103
0.604 0.956 0.605
0.221 0.574 0.219
0.488 0.720 0.721
0.928 0.512 0.279
0.414 0.294 0.646
0.251 0.251 0.248
0.530 0.763 0.530
0.896 0.543 0.897
0.797 0.143 0.143
0.970 0.744 0.971
0.720 0.072 0.721
0.917 0.797 0.143
0.030 0.256 0.029
0.256 0.685 0.029
0.237 0.823 0.470
0.543 0.664 0.897
0.500 0.500 0.500
0.336 0.104 0.103
0.280 0.928 0.279
0.586 0.706 0.354
0.956 0.835 0.605
0.426 0.013 0.781
0.706 0.354 0.354
0.625 0.625 0.124
0.375 0.375 0.876
0.875 0.875 0.374
0.125 0.125 0.626
0.000 0.000 0.000
```

---

[4]
Y3BeB | meta-GGA SCAN | PBEsol geometry

Calculated values
- Energy of formation: 0.89 eV/atom
- DOS(E_F): 9.0 states/eV/f.u.

```
Y3BeB
1.0
4.947 0.000 0.000
0.000 4.947 0.000
0.000 0.000 4.947
Y B Be
3 1 1
Direct
0.000 0.500 0.000
0.000 0.000 0.500
0.500 0.000 0.000
0.500 0.500 0.500
0.000 0.000 0.000
```

---

[5]
ZrBeB2 | meta-GGA SCAN | PBEsol geometry

Calculated values
- Energy of formation: -0.18 eV/atom
- DOS(E_F): 1.0 states/eV/f.u.

```
ZrBeB2
1.0
-1.028 -2.241 -2.677
2.947 0.939 -1.918
2.295 -4.060 4.991
B Be Zr
4 2 2
Direct
0.125 0.375 0.750
0.625 0.875 0.250
0.625 0.375 0.750
0.625 0.375 0.250
0.750 0.250 0.500
0.500 0.500 0.000
0.250 0.750 0.500
0.000 0.000 0.000
```

---

[6]
ZrBeB | meta-GGA SCAN | PBEsol geometry

Calculated values
- Energy of formation: -0.64 eV/atom
- DOS(E_F): 1.1 states/eV/f.u.

```
ZrBeB
1.0
-2.520 -2.163 -0.716
3.197 -1.129 0.217
-0.441 -0.602 3.368
Zr Be B
1 1 1
Direct
0.000 0.000 0.000
0.667 0.333 0.500
0.333 0.667 0.500
```

---

[7]
ZrBe2B2 | meta-GGA SCAN | PBEsol geometry

Calculated values
- Energy of formation: -0.59 eV/atom
- DOS(E_F): 0.5 states/eV/f.u.

```
ZrBe2B2
1.0
-1.124 0.459 -3.070
-0.401 -3.259 -0.341
-3.166 1.727 3.192
B Be Zr
2 2 1
Direct
0.607 0.607 0.213
0.393 0.393 0.787
0.250 0.750 0.500
0.750 0.250 0.500
0.000 0.000 0.000
```

---

[8]
BiBBr2 | meta-GGA SCAN | PBEsol geometry

Calculated values
- DOS(E_F): 1.0 states/eV/f.u.
- E_form (uncorrected): 0.546 eV/atom

```
BiBBr2
1.0
-1.284 3.105 0.735
-2.498 1.334 -1.951
-8.127 -2.755 5.491
Br Bi B
2 1 1
Direct
0.939 0.939 0.182
0.061 0.061 0.818
0.500 0.500 0.500
0.000 0.000 0.000
```

---

[9]
BiBBr2 | meta-GGA SCAN | PBEsol geometry

Calculated values
- DOS(E_F): 1.6 states/eV/f.u.
- E_form (uncorrected): 0.845 eV/atom

```
BiBBr2
1.0
6.829 0.000 0.000
3.414 5.914 0.000
3.414 1.971 5.576
Br Bi B
4 2 2
Direct
0.125 0.625 0.625
0.625 0.125 0.625
0.625 0.625 0.625
0.625 0.625 0.125
0.250 0.250 0.250
0.000 0.000 0.000
0.750 0.750 0.750
0.500 0.500 0.500
```

---

[10]
Bi3BC | meta-GGA SCAN | PBEsol geometry

Calculated values
- Energy of formation: 1.89 eV/atom
- DOS(E_F): 3.6 states/eV/f.u.

```
Bi3BC
1.0
4.888 0.000 0.000
0.000 4.888 0.000
0.000 0.000 4.888
Bi B C
3 1 1
Direct
0.000 0.000 0.500
0.000 0.500 0.000
0.500 0.000 0.000
0.500 0.500 0.500
0.000 0.000 0.000
```

---

[11]
BiB2CN | meta-GGA SCAN | PBEsol geometry

Calculated values
- DOS(E_F): 1.6 states/eV/f.u.
- E_form (uncorrected): 2.177 eV/atom

```
BiB2CN
1.0
3.178 0.000 0.000
0.000 3.178 0.000
0.000 0.000 6.856
C N B Bi
1 1 2 1
Direct
0.500 0.500 0.500
0.000 0.000 0.000
0.000 0.500 0.000
0.500 0.000 0.000
0.000 0.000 0.500
```

---

[12]
Ca2BiB | meta-GGA SCAN | PBEsol geometry

Calculated values
- Energy of formation: 0.22 eV/atom
- DOS(E_F): 1.8 states/eV/f.u.

```
Ca2BiB
1.0
-4.685 -4.208 0.447
1.007 -6.063 -1.949
-0.614 -3.479 5.394
B Ca Bi
2 4 2
Direct
0.250 0.500 0.500
0.500 0.000 0.000
0.375 0.440 0.060
0.185 0.940 0.440
0.875 0.560 0.940
0.565 0.060 0.560
0.000 0.000 0.000
0.750 0.500 0.500
```